Entry 1:
Se5Br | PBE | optimized geometry

Structure (CIF):
```
data_Se5Br
_symmetry_space_group_name_H-M 'P 1'
_symmetry_Int_Tables_number 1
_symmetry_space_group_name_Hall 'P 1'
_cell_length_a 6.1156
_cell_length_b 6.1156
_cell_length_c 9.3005
_cell_angle_alpha 113.21
_cell_angle_beta 113.21
_cell_angle_gamma 34.30
loop_
_atom_site_label
_atom_site_type_symbol
_atom_site_fract_x
_atom_site_fract_y
_atom_site_fract_z
Se1 Se 0.0000 0.0000 0.0000
Se2 Se 0.0097 0.0097 0.5948
Se3 Se 0.3085 0.3085 0.9049
Se4 Se 0.6154 0.6154 0.1973
Se5 Se 0.6769 0.6769 0.6791
Br1 Br 0.3188 0.3188 0.3835
```

## Properties
Density: 4.41 g/cm³
DFT total energy: -3.02 eV per atom
Uncorrected formation energy: 1.00 eV/f.u.

---

Entry 2:
Se3Br5 | PBE | optimized geometry

Structure (CIF):
```
data_Se3Br5
_symmetry_space_group_name_H-M 'P 1'
_symmetry_Int_Tables_number 1
_symmetry_space_group_name_Hall 'P 1'
_cell_length_a 9.3381
_cell_length_b 9.3381
_cell_length_c 3.9457
_cell_angle_alpha 90.00
_cell_angle_beta 90.00
_cell_angle_gamma 129.95
loop_
_atom_site_label
_atom_site_type_symbol
_atom_site_fract_x
_atom_site_fract_y
_atom_site_fract_z
Se1 Se 0.0000 0.0000 0.0000
Se2 Se 0.2481 0.7519 0.5000
Se3 Se 0.7519 0.2481 0.5000
Br1 Br 0.0000 0.5000 0.0000
Br2 Br 0.2220 0.2220 0.5000
Br3 Br 0.5000 0.0000 0.0000
Br4 Br 0.5000 0.5000 0.0000
Br5 Br 0.7780 0.7780 0.5000
```

## Properties
Density: 4.01 g/cm³
DFT total energy: -2.06 eV per atom
Uncorrected formation energy: 2.30 eV/f.u.